(1)
A relaxed Ti6Al5Re crystal, computed with PBE-GGA.

Lattice parameters (Å, degrees): 6.4429 6.4429 7.8323 90.00 90.00 143.75
With the nearest neighbours (Å) after each atom.
Atoms (fractional coordinates):
Ti (0.0000, 0.0000, 0.2330)  2 Re 2.71, 6 Al 2.72-2.91, 4 Ti 2.85
Ti (0.0000, 0.0000, 0.7670)  2 Re 2.71, 6 Al 2.72-2.91, 4 Ti 2.85
Ti (0.3347, 0.6653, 0.2434)  7 Al 2.77-2.89, 1 Re 2.78, 4 Ti 2.85-2.88
Ti (0.3347, 0.6653, 0.7566)  7 Al 2.77-2.89, 1 Re 2.78, 4 Ti 2.85-2.88
Ti (0.6653, 0.3347, 0.2434)  7 Al 2.77-2.89, 1 Re 2.78, 4 Ti 2.85-2.88
Ti (0.6653, 0.3347, 0.7566)  7 Al 2.77-2.89, 1 Re 2.78, 4 Ti 2.85-2.88
Al (0.1652, 0.8348, 0.0000)  8 Ti 2.72-2.82, 2 Re 2.85, 2 Al 2.89
Al (0.1653, 0.8347, 0.5000)  8 Ti 2.84-2.91, 4 Al 2.85-2.88
Al (0.5000, 0.5000, 0.5000)  4 Al 2.85, 8 Ti 2.85-2.90
Al (0.8348, 0.1652, 0.0000)  8 Ti 2.72-2.82, 2 Re 2.85, 2 Al 2.89
Al (0.8347, 0.1653, 0.5000)  8 Ti 2.84-2.91, 4 Al 2.85-2.88
Re (0.5000, 0.5000, 0.0000)  8 Ti 2.71-2.78, 4 Al 2.85

The calculation puts the total energy at -6.937 eV/atom. Its volume is 16.020 Å³/atom. The space group is Cmmm (65). As for the crystal system: orthorhombic. The energy relative to the elements is -0.3925 eV/atom.

(2)
A relaxed Ti4Al2Re crystal, computed with PBE-GGA.

Lattice parameters (Å, degrees): 4.6767 4.6767 13.5135 90.00 90.00 90.00
With the nearest neighbours (Å) after each atom.
Atoms (fractional coordinates):
Ti (0.0000, 0.0000, 0.1799)  1 Re 2.43, 1 Al 2.68
Ti (0.0000, 0.0000, 0.8201)  1 Re 2.43, 1 Al 2.68
Ti (0.0000, 0.5000, 0.0000)  2 Re 2.34
Ti (0.0000, 0.5000, 0.5000)  2 Re 2.34
Ti (0.5000, 0.0000, 0.0000)  2 Re 2.34
Ti (0.5000, 0.0000, 0.5000)  2 Re 2.34
Ti (0.5000, 0.5000, 0.3201)  1 Re 2.43, 1 Al 2.68
Ti (0.5000, 0.5000, 0.6799)  1 Re 2.43, 1 Al 2.68
Al (0.0000, 0.0000, 0.3784)  5 Ti 2.68-2.86
Al (0.0000, 0.0000, 0.6216)  5 Ti 2.68-2.86
Al (0.5000, 0.5000, 0.1216)  5 Ti 2.68-2.86
Al (0.5000, 0.5000, 0.8784)  5 Ti 2.68-2.86
Re (0.0000, 0.0000, 0.0000)  6 Ti 2.34-2.43
Re (0.5000, 0.5000, 0.5000)  6 Ti 2.34-2.43

The calculation puts the total energy at -6.818 eV/atom. Its volume is 21.112 Å³/atom. The space group is I4/mmm (139). Its offset from the most stable computed form is 111 meV per atom. As for the crystal system: tetragonal. The energy relative to the elements is 0.5410 eV/atom.

(3)
A relaxed Ti2Al2Re crystal, computed with PBE-GGA.

Lattice parameters (Å, degrees): 3.1990 3.1990 15.4223 90.00 90.00 90.00
With the nearest neighbours (Å) after each atom.
Atoms (fractional coordinates):
Ti (0.0000, 0.0000, 0.0927)  4 Re 2.68, 4 Al 2.79, 1 Ti 2.86
Ti (0.0000, 0.0000, 0.9073)  4 Re 2.68, 4 Al 2.79, 1 Ti 2.86
Ti (0.5000, 0.5000, 0.4073)  4 Re 2.68, 4 Al 2.79, 1 Ti 2.86
Ti (0.5000, 0.5000, 0.5927)  4 Re 2.68, 4 Al 2.79, 1 Ti 2.86
Al (0.0000, 0.0000, 0.3012)  4 Al 2.76, 4 Ti 2.79, 1 Re 3.07
Al (0.0000, 0.0000, 0.6988)  4 Al 2.76, 4 Ti 2.79, 1 Re 3.07
Al (0.5000, 0.5000, 0.1988)  4 Al 2.76, 4 Ti 2.79, 1 Re 3.07
Al (0.5000, 0.5000, 0.8012)  4 Al 2.76, 4 Ti 2.79, 1 Re 3.07
Re (0.0000, 0.0000, 0.5000)  8 Ti 2.68
Re (0.5000, 0.5000, 0.0000)  8 Ti 2.68

The calculation puts the total energy at -7.470 eV/atom. Its volume is 15.783 Å³/atom. The space group is I4/mmm (139). Its offset from the most stable computed form is 0 meV per atom. As for the crystal system: tetragonal. The energy relative to the elements is -0.3250 eV/atom.

(4)
A relaxed Ti6AlRe crystal, computed with PBE-GGA.

Lattice parameters (Å, degrees): 4.6698 5.7349 9.8451 90.00 90.00 90.00
With the nearest neighbours (Å) after each atom.
Atoms (fractional coordinates):
Ti (0.0000, 0.0000, 0.0000)  8 Ti 2.77-2.92, 2 Re 2.85, 2 Al 2.87
Ti (0.0000, 0.2420, 0.2438)  8 Ti 2.77-2.96, 2 Re 2.82, 2 Al 2.84-2.86
Ti (0.0000, 0.2580, 0.7438)  8 Ti 2.77-2.96, 2 Re 2.82, 2 Al 2.84-2.86
Ti (0.0000, 0.5000, 0.5000)  8 Ti 2.77-2.92, 2 Re 2.85, 2 Al 2.87
Ti (0.0000, 0.7420, 0.7438)  8 Ti 2.77-2.96, 2 Re 2.82, 2 Al 2.84-2.86
Ti (0.0000, 0.7580, 0.2438)  8 Ti 2.77-2.96, 2 Re 2.82, 2 Al 2.84-2.86
Ti (0.5000, 0.0000, 0.6650)  8 Ti 2.81-2.89, 2 Al 2.86, 2 Re 2.87
Ti (0.5000, 0.2454, 0.4182)  8 Ti 2.81-2.92, 2 Al 2.84, 2 Re 2.84-2.86
Ti (0.5000, 0.2546, 0.9182)  8 Ti 2.81-2.92, 2 Al 2.84, 2 Re 2.84-2.86
Ti (0.5000, 0.5000, 0.1650)  8 Ti 2.81-2.89, 2 Al 2.86, 2 Re 2.87
Ti (0.5000, 0.7454, 0.9182)  8 Ti 2.81-2.92, 2 Al 2.84, 2 Re 2.84-2.86
Ti (0.5000, 0.7546, 0.4182)  8 Ti 2.81-2.92, 2 Al 2.84, 2 Re 2.84-2.86
Al (0.0000, 0.0000, 0.4978)  12 Ti 2.84-2.87
Al (0.0000, 0.5000, 0.9978)  12 Ti 2.84-2.87
Re (0.5000, 0.0000, 0.1659)  12 Ti 2.82-2.87
Re (0.5000, 0.5000, 0.6659)  12 Ti 2.82-2.87

The calculation puts the total energy at -8.077 eV/atom. Its volume is 16.479 Å³/atom. The space group is Amm2 (38). Its offset from the most stable computed form is 64 meV per atom. As for the crystal system: orthorhombic. The energy relative to the elements is -0.1317 eV/atom.

(5)
A relaxed Ti4Al3Re crystal, computed with PBE-GGA.

Lattice parameters (Å, degrees): 3.1764 3.1764 12.6328 90.00 90.00 90.00
With the nearest neighbours (Å) after each atom.
Atoms (fractional coordinates):
Ti (0.0000, 0.0000, 0.1147)  4 Re 2.67, 4 Al 2.75, 1 Ti 2.90
Ti (0.0000, 0.0000, 0.3706)  8 Al 2.78
Ti (0.0000, 0.0000, 0.6294)  8 Al 2.78
Ti (0.0000, 0.0000, 0.8853)  4 Re 2.67, 4 Al 2.75, 1 Ti 2.90
Al (0.5000, 0.5000, 0.2409)  8 Ti 2.75-2.78, 1 Re 3.04
Al (0.5000, 0.5000, 0.5000)  8 Ti 2.78
Al (0.5000, 0.5000, 0.7591)  8 Ti 2.75-2.78, 1 Re 3.04
Re (0.5000, 0.5000, 0.0000)  8 Ti 2.67

The calculation puts the total energy at -7.287 eV/atom. Its volume is 15.932 Å³/atom. The space group is P4/mmm (123). As for the crystal system: tetragonal. The energy relative to the elements is -0.3798 eV/atom.

(6)
A relaxed TiAl2Re crystal, computed with PBE-GGA.

Lattice parameters (Å, degrees): 3.7517 3.7517 18.8793 90.00 90.00 90.00
With the nearest neighbours (Å) after each atom.
Atoms (fractional coordinates):
Ti (0.0000, 0.0000, 0.0000)  4 Re 2.65, 4 Al 2.72
Ti (0.0000, 0.5000, 0.2500)  4 Re 2.65, 4 Al 2.72
Ti (0.5000, 0.0000, 0.7500)  4 Re 2.65, 4 Al 2.72
Ti (0.5000, 0.5000, 0.5000)  4 Re 2.65, 4 Al 2.72
Al (0.2437, 0.2500, 0.6250)  4 Al 2.62-2.69, 2 Re 2.70, 2 Ti 2.72
Al (0.2500, 0.7437, 0.8750)  4 Al 2.62-2.69, 2 Re 2.70, 2 Ti 2.72
Al (0.2500, 0.7563, 0.3750)  4 Al 2.62-2.69, 2 Re 2.70, 2 Ti 2.72
Al (0.2563, 0.2500, 0.1250)  4 Al 2.62-2.69, 2 Re 2.70, 2 Ti 2.72
Al (0.7437, 0.7500, 0.1250)  4 Al 2.62-2.69, 2 Re 2.70, 2 Ti 2.72
Al (0.7500, 0.2437, 0.3750)  4 Al 2.62-2.69, 2 Re 2.70, 2 Ti 2.72
Al (0.7500, 0.2563, 0.8750)  4 Al 2.62-2.69, 2 Re 2.70, 2 Ti 2.72
Al (0.7563, 0.7500, 0.6250)  4 Al 2.62-2.69, 2 Re 2.70, 2 Ti 2.72
Re (0.0000, 0.0000, 0.5000)  4 Ti 2.65, 4 Al 2.70
Re (0.0000, 0.5000, 0.7500)  4 Ti 2.65, 4 Al 2.70
Re (0.5000, 0.0000, 0.2500)  4 Ti 2.65, 4 Al 2.70
Re (0.5000, 0.5000, 0.0000)  4 Ti 2.65, 4 Al 2.70

The calculation puts the total energy at -6.810 eV/atom. Its volume is 16.608 Å³/atom. The space group is I-42d (122). Its offset from the most stable computed form is 461 meV per atom. As for the crystal system: tetragonal. The energy relative to the elements is 0.1472 eV/atom.